A plane-wave DFT calculation with PBE was carried out for a relaxed structure of Sm14ThIn. Values from VASP.

The structure in Quantum ESPRESSO input format:
```
&SYSTEM
  ibrav = 0, nat = 16, ntyp = 3
/
ATOMIC_SPECIES
Sm 150.36 Sm.upf
Th 232.04 Th.upf
In 114.82 In.upf
CELL_PARAMETERS angstrom
7.1187 0.9554 0.0000
-0.9548 7.1187 0.0000
0.0000 0.0000 10.1688
ATOMIC_POSITIONS angstrom
Sm 2.0733 4.8071 5.0844
Sm 6.1122 1.7237 5.0844
Sm 5.6098 5.2680 0.0000
Sm 5.6382 5.2896 5.0844
Sm 2.5608 1.2741 0.0000
Sm 2.5475 1.2410 5.0844
Sm 3.6171 6.8310 7.6813
Sm 3.6171 6.8310 2.4875
Sm 0.5279 2.7844 7.6813
Sm 0.5279 2.7844 2.4875
Sm 0.0508 6.3511 7.6898
Sm 0.0508 6.3511 2.4790
Sm 4.0974 3.2618 7.6722
Sm 4.0974 3.2618 2.4966
Th 6.1154 1.7213 0.0000
In 2.0673 4.8116 0.0000
```

- D(E_F): 21.45 states/eV per cell
- DFT formation energy: -0.021 eV/atom
- Size of the total moment: 0.00 μB/f.u.
- SG: No. 38

A plane-wave DFT calculation with PBE was carried out for a relaxed structure of HfZn2ReRh. Values from VASP.

The structure in Quantum ESPRESSO input format:
```
&SYSTEM
  ibrav = 0, nat = 5, ntyp = 4
/
ATOMIC_SPECIES
Re 186.21 Re.upf
Zn 65.41 Zn.upf
Hf 178.49 Hf.upf
Rh 102.91 Rh.upf
CELL_PARAMETERS angstrom
4.9219 0.0000 0.0000
0.0000 4.6780 0.0000
0.0000 0.0000 4.9219
ATOMIC_POSITIONS angstrom
Re 0.0000 2.3390 0.0000
Zn 0.0000 0.0000 2.4609
Zn 2.4609 0.0000 0.0000
Hf 0.0000 0.0000 0.0000
Rh 2.4609 2.3390 2.4609
```

- D(E_F): 4.84 states/eV per cell
- DFT formation energy: 1.821 eV/atom
- Size of the total moment: 0.41 μB/f.u.
- SG: No. 123

A plane-wave DFT calculation with PBE was carried out for a relaxed structure of Pm5Cu3Si3. Values from VASP.

The structure in Quantum ESPRESSO input format:
```
&SYSTEM
  ibrav = 0, nat = 11, ntyp = 3
/
ATOMIC_SPECIES
Pm 145.00 Pm.upf
Cu 63.55 Cu.upf
Si 28.09 Si.upf
CELL_PARAMETERS angstrom
4.1127 0.0000 0.0000
0.0000 9.0607 0.0000
0.0000 -4.5304 7.8468
ATOMIC_POSITIONS angstrom
Pm 2.0564 0.0000 5.2312
Pm 2.0564 4.5304 2.6156
Pm 2.0564 1.1277 1.9532
Pm 2.0564 -3.4027 5.8937
Pm 2.0564 6.8054 0.0000
Cu 0.0000 3.2782 5.6781
Cu 0.0000 2.5042 0.0000
Cu 0.0000 -1.2521 2.1687
Si 2.0564 2.7847 4.8232
Si 2.0564 -1.7457 3.0236
Si 2.0564 3.4913 0.0000
```

- D(E_F): 7.88 states/eV per cell
- Energy relative to the elements, uncorrected: -0.71 eV per formula unit
- Size of the total moment: 0.00 μB/f.u.
- SG: No. 189